No. 1
! SCAN Ta4IrPb, single point on PBEsol structure; values from VASP
&SYSTEM
  ibrav = 0, nat = 6, ntyp = 3
/
ATOMIC_SPECIES
Ta 180.95 Ta.upf
Ir 192.22 Ir.upf
Pb 207.20 Pb.upf
CELL_PARAMETERS angstrom
0.0000 3.8103 3.8103
3.8103 0.0000 3.8103
3.8103 3.8103 0.0000
ATOMIC_POSITIONS angstrom
Ta 2.8638 2.8638 2.8638
Ta 4.7569 4.7569 2.8638
Ta 4.7569 2.8638 4.7569
Ta 2.8638 4.7569 4.7569
Ir 0.0000 0.0000 0.0000
Pb 5.7155 5.7155 5.7155
! E_form = 0.42 eV/atom
! total magnetization = 0.00 μB/cell
! raw total energy = -68.45 eV per atom
! space group = F-43m


No. 2
! SCAN ScSnWBr2, single point on PBEsol structure; values from VASP
&SYSTEM
  ibrav = 0, nat = 5, ntyp = 4
/
ATOMIC_SPECIES
Sc 44.96 Sc.upf
Sn 118.71 Sn.upf
W 183.84 W.upf
Br 79.90 Br.upf
CELL_PARAMETERS angstrom
4.9515 0.0000 0.0000
0.0000 4.9515 0.0000
0.0000 0.0000 5.5651
ATOMIC_POSITIONS angstrom
Sc 0.0000 0.0000 0.0000
Sn 2.4757 2.4757 2.7826
W 0.0000 0.0000 2.7826
Br 0.0000 2.4757 0.0000
Br 2.4757 0.0000 0.0000
! raw formation energy = 0.637 eV/atom
! total magnetization = 3.15 μB/cell
! raw total energy = -31.12 eV per atom
! space group = P4/mmm


No. 3
! SCAN LaInAsBr2, single point on PBEsol structure; values from VASP
&SYSTEM
  ibrav = 0, nat = 5, ntyp = 4
/
ATOMIC_SPECIES
La 138.91 La.upf
In 114.82 In.upf
As 74.92 As.upf
Br 79.90 Br.upf
CELL_PARAMETERS angstrom
5.7313 0.0000 0.0000
0.0000 5.7313 0.0000
0.0000 0.0000 5.6946
ATOMIC_POSITIONS angstrom
La 0.0000 0.0000 0.0000
In 2.8656 2.8656 2.8473
As 0.0000 0.0000 2.8473
Br 0.0000 2.8656 0.0000
Br 2.8656 0.0000 0.0000
! raw formation energy = -0.881 eV/atom
! total magnetization = 0.51 μB/cell
! raw total energy = -28.00 eV per atom
! space group = P4/mmm


No. 4
! SCAN BaHgGe, single point on PBEsol structure; values from VASP
&SYSTEM
  ibrav = 0, nat = 12, ntyp = 3
/
ATOMIC_SPECIES
Ba 137.33 Ba.upf
Hg 200.59 Hg.upf
Ge 72.64 Ge.upf
CELL_PARAMETERS angstrom
4.1695 0.0000 0.0000
0.0000 5.0081 0.0000
0.0000 0.0000 16.6638
ATOMIC_POSITIONS angstrom
Ba 0.0000 1.2520 2.2893
Ba 0.0000 3.7561 14.3745
Ba 2.0848 1.2520 6.0426
Ba 2.0848 3.7561 10.6211
Hg 0.0000 1.2520 9.0184
Hg 0.0000 3.7561 7.6454
Hg 2.0848 1.2520 15.9772
Hg 2.0848 3.7561 0.6865
Ge 0.0000 1.2520 11.7869
Ge 0.0000 3.7561 4.8769
Ge 2.0848 1.2520 13.2087
Ge 2.0848 3.7561 3.4550
! E_form = -0.62 eV/atom
! total magnetization = 0.00 μB/cell
! raw total energy = -42.89 eV per atom
! space group = Imma


No. 5
! SCAN Fe3Hg2, single point on PBEsol structure; values from VASP
&SYSTEM
  ibrav = 0, nat = 10, ntyp = 2
/
ATOMIC_SPECIES
Fe 55.84 Fe.upf
Hg 200.59 Hg.upf
CELL_PARAMETERS angstrom
2.9551 0.0000 0.0000
0.0000 2.9847 0.0000
0.0000 0.0000 17.0326
ATOMIC_POSITIONS angstrom
Fe 0.0000 0.0000 0.0000
Fe 0.0000 0.0000 7.2674
Fe 0.0000 0.0000 9.7652
Fe 1.4775 1.4924 1.2489
Fe 1.4775 1.4924 8.5163
Fe 1.4775 1.4924 15.7837
Hg 0.0000 0.0000 3.0695
Hg 0.0000 0.0000 13.9632
Hg 1.4775 1.4924 5.4468
Hg 1.4775 1.4924 11.5858
! E_form = 0.21 eV/atom
! total magnetization = 16.91 μB/cell
! raw total energy = -37.94 eV per atom
! space group = Immm
! polymorph energy (0 for the lowest one) = 0.000 eV/atom


No. 6
! SCAN MgCdCu2, single point on PBEsol structure; values from VASP
&SYSTEM
  ibrav = 0, nat = 8, ntyp = 3
/
ATOMIC_SPECIES
Mg 24.30 Mg.upf
Cd 112.41 Cd.upf
Cu 63.55 Cu.upf
CELL_PARAMETERS angstrom
3.8491 0.0000 0.0000
0.0000 3.8491 0.0000
0.0000 0.0000 8.0711
ATOMIC_POSITIONS angstrom
Mg 0.0000 0.0000 0.0000
Mg 1.9246 1.9246 4.0355
Cd 0.0000 1.9246 2.0178
Cd 1.9246 0.0000 6.0533
Cu 0.0000 0.0000 4.0355
Cu 0.0000 1.9246 6.0533
Cu 1.9246 0.0000 2.0178
Cu 1.9246 1.9246 0.0000
! E_form = -0.03 eV/atom
! total magnetization = 0.00 μB/cell
! raw total energy = -16.47 eV per atom
! space group = I-4m2


No. 7
! SCAN KNa2Ta, single point on PBEsol structure; values from VASP
&SYSTEM
  ibrav = 0, nat = 16, ntyp = 3
/
ATOMIC_SPECIES
K 39.10 K.upf
Na 22.99 Na.upf
Ta 180.95 Ta.upf
CELL_PARAMETERS angstrom
8.9236 0.0000 0.0000
0.0000 8.9236 0.0000
0.0000 0.0000 6.9195
ATOMIC_POSITIONS angstrom
K 0.0000 0.0000 0.0000
K 0.0000 4.4618 1.7299
K 4.4618 0.0000 5.1896
K 4.4618 4.4618 3.4597
Na 2.1025 6.6927 4.3247
Na 2.2309 2.1025 2.5948
Na 2.2309 2.3593 6.0546
Na 2.3593 6.6927 0.8649
Na 6.5644 2.2309 0.8649
Na 6.6927 6.5644 6.0546
Na 6.6927 6.8211 2.5948
Na 6.8211 2.2309 4.3247
Ta 0.0000 0.0000 3.4597
Ta 0.0000 4.4618 5.1896
Ta 4.4618 0.0000 1.7299
Ta 4.4618 4.4618 0.0000
! E_form = 1.48 eV/atom
! total magnetization = 17.68 μB/cell
! raw total energy = -19.36 eV per atom
! space group = I-42d


No. 8
! SCAN NaCaSn3, single point on PBEsol structure; values from VASP
&SYSTEM
  ibrav = 0, nat = 5, ntyp = 3
/
ATOMIC_SPECIES
Na 22.99 Na.upf
Ca 40.08 Ca.upf
Sn 118.71 Sn.upf
CELL_PARAMETERS angstrom
5.7076 0.0000 0.0000
0.0000 5.7076 0.0000
0.0000 0.0000 5.7076
ATOMIC_POSITIONS angstrom
Na 0.0000 0.0000 0.0000
Ca 2.8538 2.8538 2.8538
Sn 0.0000 2.8538 2.8538
Sn 2.8538 0.0000 2.8538
Sn 2.8538 2.8538 0.0000
! E_form = 0.40 eV/atom
! total magnetization = 0.00 μB/cell
! raw total energy = -23.93 eV per atom
! space group = Pm-3m


No. 9
! SCAN Ta2IrPt, single point on PBEsol structure; values from VASP
&SYSTEM
  ibrav = 0, nat = 8, ntyp = 3
/
ATOMIC_SPECIES
Ta 180.95 Ta.upf
Ir 192.22 Ir.upf
Pt 195.08 Pt.upf
CELL_PARAMETERS angstrom
3.9807 0.0000 0.0000
0.0000 3.9807 0.0000
0.0000 0.0000 7.9199
ATOMIC_POSITIONS angstrom
Ta 0.0000 1.9904 1.9800
Ta 0.0000 1.9904 5.9399
Ta 1.9904 0.0000 1.9800
Ta 1.9904 0.0000 5.9399
Ir 0.0000 0.0000 0.0000
Ir 1.9904 1.9904 3.9599
Pt 0.0000 0.0000 3.9599
Pt 1.9904 1.9904 0.0000
! E_form = -0.80 eV/atom
! total magnetization = 0.00 μB/cell
! raw total energy = -69.42 eV per atom
! space group = I4/mmm


No. 10
! SCAN AlTlRu, single point on PBEsol structure; values from VASP
&SYSTEM
  ibrav = 0, nat = 3, ntyp = 3
/
ATOMIC_SPECIES
Al 26.98 Al.upf
Tl 204.38 Tl.upf
Ru 101.07 Ru.upf
CELL_PARAMETERS angstrom
4.2421 0.0000 0.0000
-2.1210 3.6737 0.0000
0.0000 0.0000 3.3036
ATOMIC_POSITIONS angstrom
Al 0.0000 0.0000 0.0000
Tl 2.1210 1.2246 1.6518
Ru 0.0000 2.4492 0.0000
! E_form = 0.14 eV/atom
! total magnetization = 0.00 μB/cell
! raw total energy = -38.17 eV per atom
! space group = P-6m2
! polymorph energy (0 for the lowest one) = 0.000 eV/atom


No. 11
! SCAN In3PtI, single point on PBEsol structure; values from VASP
&SYSTEM
  ibrav = 0, nat = 5, ntyp = 3
/
ATOMIC_SPECIES
In 114.82 In.upf
Pt 195.08 Pt.upf
I 126.90 I.upf
CELL_PARAMETERS angstrom
5.2004 0.0000 0.0000
0.0000 5.2004 0.0000
0.0000 0.0000 5.2004
ATOMIC_POSITIONS angstrom
In 0.0000 0.0000 2.6002
In 0.0000 2.6002 0.0000
In 2.6002 0.0000 0.0000
Pt 0.0000 0.0000 0.0000
I 2.6002 2.6002 2.6002
! raw formation energy = -0.579 eV/atom
! total magnetization = 0.00 μB/cell
! raw total energy = -42.00 eV per atom
! space group = Pm-3m


No. 12
! SCAN NaGaOs3, single point on PBEsol structure; values from VASP
&SYSTEM
  ibrav = 0, nat = 5, ntyp = 3
/
ATOMIC_SPECIES
Na 22.99 Na.upf
Ga 69.72 Ga.upf
Os 190.23 Os.upf
CELL_PARAMETERS angstrom
4.3923 0.0000 0.0000
0.0000 4.3923 0.0000
0.0000 0.0000 4.3923
ATOMIC_POSITIONS angstrom
Na 0.0000 0.0000 0.0000
Ga 2.1962 2.1962 2.1962
Os 0.0000 0.0000 2.1962
Os 0.0000 2.1962 0.0000
Os 2.1962 0.0000 0.0000
! E_form = 3.08 eV/atom
! total magnetization = 3.74 μB/cell
! raw total energy = -44.16 eV per atom
! space group = Pm-3m


No. 13
! SCAN CdGa2PF, single point on PBEsol structure; values from VASP
&SYSTEM
  ibrav = 0, nat = 5, ntyp = 4
/
ATOMIC_SPECIES
Cd 112.41 Cd.upf
Ga 69.72 Ga.upf
P 30.97 P.upf
F 19.00 F.upf
CELL_PARAMETERS angstrom
4.6250 0.0000 0.0000
0.0000 4.6250 0.0000
0.0000 0.0000 4.3377
ATOMIC_POSITIONS angstrom
Cd 0.0000 0.0000 0.0000
Ga 0.0000 2.3125 2.1688
Ga 2.3125 0.0000 2.1688
P 2.3125 2.3125 0.0000
F 2.3125 2.3125 2.1688
! raw formation energy = 0.053 eV/atom
! total magnetization = 0.00 μB/cell
! raw total energy = -15.36 eV per atom
! space group = P4/mmm


No. 14
! SCAN Li2SiAs, single point on PBEsol structure; values from VASP
&SYSTEM
  ibrav = 0, nat = 8, ntyp = 3
/
ATOMIC_SPECIES
Li 6.94 Li.upf
Si 28.09 Si.upf
As 74.92 As.upf
CELL_PARAMETERS angstrom
8.5802 0.0000 0.0000
0.0000 2.7536 0.0000
-0.9222 0.0000 5.1240
ATOMIC_POSITIONS angstrom
Li 1.8998 0.0000 1.2870
Li 1.4680 1.3768 3.8370
Li 6.1899 1.3768 1.2870
Li 5.7581 0.0000 3.8370
Si -0.4611 0.0000 2.5620
Si 3.8290 1.3768 2.5620
As 0.0000 1.3768 0.0000
As 4.2901 0.0000 0.0000
! raw formation energy = -0.167 eV/atom
! total magnetization = 0.00 μB/cell
! raw total energy = -8.91 eV per atom
! space group = C2/m


No. 15
! SCAN TlCd2As, single point on PBEsol structure; values from VASP
&SYSTEM
  ibrav = 0, nat = 8, ntyp = 3
/
ATOMIC_SPECIES
Tl 204.38 Tl.upf
Cd 112.41 Cd.upf
As 74.92 As.upf
CELL_PARAMETERS angstrom
3.7757 0.0000 0.0000
0.0000 4.1114 0.0000
0.0000 0.0000 12.2960
ATOMIC_POSITIONS angstrom
Tl 0.0000 0.0000 0.0000
Tl 1.8878 2.0557 6.1480
Cd 0.0000 0.0000 4.8087
Cd 0.0000 2.0557 2.4552
Cd 1.8878 0.0000 8.6032
Cd 1.8878 2.0557 10.9567
As 0.0000 2.0557 8.7852
As 1.8878 0.0000 2.6372
! E_form = 0.08 eV/atom
! total magnetization = 0.00 μB/cell
! raw total energy = -38.27 eV per atom
! space group = Imm2
! polymorph energy (0 for the lowest one) = 0.000 eV/atom


No. 16
! SCAN ZrTcRh2, single point on PBEsol structure; values from VASP
&SYSTEM
  ibrav = 0, nat = 8, ntyp = 3
/
ATOMIC_SPECIES
Zr 91.22 Zr.upf
Tc 98.00 Tc.upf
Rh 102.91 Rh.upf
CELL_PARAMETERS angstrom
9.1960 0.0000 0.0000
0.0000 2.8508 0.0000
-0.9110 0.0000 4.6303
ATOMIC_POSITIONS angstrom
Zr 0.0000 0.0000 0.0000
Zr 4.5980 1.4254 0.0000
Tc -0.4555 1.4254 2.3151
Tc 4.1425 0.0000 2.3151
Rh 1.5811 0.0000 3.3951
Rh 2.1059 1.4254 1.2351
Rh 6.1791 1.4254 3.3951
Rh 6.7039 0.0000 1.2351
! E_form = -0.25 eV/atom
! total magnetization = 0.00 μB/cell
! raw total energy = -33.58 eV per atom
! space group = C2/m
! polymorph energy (0 for the lowest one) = 0.170 eV/atom


No. 17
! SCAN LiBeP2, single point on PBEsol structure; values from VASP
&SYSTEM
  ibrav = 0, nat = 4, ntyp = 3
/
ATOMIC_SPECIES
Li 6.94 Li.upf
Be 9.01 Be.upf
P 30.97 P.upf
CELL_PARAMETERS angstrom
2.4151 0.0000 0.0000
0.0000 3.8786 0.0000
0.0000 0.0000 5.3771
ATOMIC_POSITIONS angstrom
Li 0.0000 0.0000 0.0000
Be 1.2075 1.9393 1.2203
P 1.2075 0.0000 2.3499
P 1.2075 1.9393 4.3882
! E_form = -0.01 eV/atom
! total magnetization = 0.00 μB/cell
! raw total energy = -6.90 eV per atom
! space group = Pmm2


No. 18
! SCAN ScAsIr3, single point on PBEsol structure; values from VASP
&SYSTEM
  ibrav = 0, nat = 5, ntyp = 3
/
ATOMIC_SPECIES
Sc 44.96 Sc.upf
As 74.92 As.upf
Ir 192.22 Ir.upf
CELL_PARAMETERS angstrom
4.6250 0.0000 0.0000
0.0000 4.6250 0.0000
0.0000 0.0000 4.6250
ATOMIC_POSITIONS angstrom
Sc 0.0000 0.0000 0.0000
As 2.3125 2.3125 2.3125
Ir 0.0000 0.0000 2.3125
Ir 0.0000 2.3125 0.0000
Ir 2.3125 0.0000 0.0000
! E_form = 1.81 eV/atom
! total magnetization = 1.65 μB/cell
! raw total energy = -47.74 eV per atom
! space group = Pm-3m


No. 19
! SCAN TlAuO3, single point on PBEsol structure; values from VASP
&SYSTEM
  ibrav = 0, nat = 5, ntyp = 3
/
ATOMIC_SPECIES
Tl 204.38 Tl.upf
Au 196.97 Au.upf
O 16.00 O.upf
CELL_PARAMETERS angstrom
4.0448 0.0000 0.0000
0.0000 4.0448 0.0000
0.0000 0.0000 4.0448
ATOMIC_POSITIONS angstrom
Tl 0.0000 0.0000 0.0000
Au 2.0224 2.0224 2.0224
O 0.0000 2.0224 2.0224
O 2.0224 0.0000 2.0224
O 2.0224 2.0224 0.0000
! raw formation energy = -0.021 eV/atom
! total magnetization = 0.00 μB/cell
! raw total energy = -32.06 eV per atom
! space group = Pm-3m


No. 20
! SCAN CaY2Co, single point on PBEsol structure; values from VASP
&SYSTEM
  ibrav = 0, nat = 4, ntyp = 3
/
ATOMIC_SPECIES
Ca 40.08 Ca.upf
Y 88.91 Y.upf
Co 58.93 Co.upf
CELL_PARAMETERS angstrom
3.3781 0.0000 0.0000
0.0000 3.3781 0.0000
0.0000 0.0000 9.1936
ATOMIC_POSITIONS angstrom
Ca 0.0000 0.0000 0.0000
Y 1.6891 1.6891 3.0463
Y 1.6891 1.6891 6.1473
Co 0.0000 0.0000 4.5968
! E_form = -0.09 eV/atom
! total magnetization = 0.72 μB/cell
! raw total energy = -20.75 eV per atom
! space group = P4/mmm
! polymorph energy (0 for the lowest one) = 0.000 eV/atom